1.
This record from Alexandria via LeMat-Bulk describes crystalline CsSbHAu2 at its relaxed geometry. The functional is PBE.

Results
Space-group type: P4/mmm
Energy above the most stable polymorph in this dataset: 458 meV per atom

Cell: 5.7546 5.7546 3.7675 Å, 90.00 90.00 90.00°
Fractional positions:
Cs (0.0000, 0.0000, 0.0000)
Sb (0.5000, 0.5000, 0.0000)
H (0.5000, 0.5000, 0.5000)
Au (0.0000, 0.5000, 0.5000)
Au (0.5000, 0.0000, 0.5000)

---

2.
This record from Alexandria via LeMat-Bulk describes crystalline Zr2GeH3 at its relaxed geometry. The functional is PBE.

Results
Space-group type: C2/m
VASP energy: -0.428 Ry/atom

Cell: 6.7637 6.7637 6.6348 Å, 113.45 113.45 30.24°
Fractional positions:
Zr (0.0289, 0.0289, 0.2655)
Zr (0.2934, 0.2934, 0.2832)
Zr (0.7066, 0.7066, 0.7168)
Zr (0.9711, 0.9711, 0.7345)
Ge (0.3775, 0.3775, 0.9553)
Ge (0.6225, 0.6225, 0.0447)
H (0.1037, 0.1037, 0.6455)
H (0.1950, 0.1950, 0.4763)
H (0.4296, 0.4296, 0.5701)
H (0.5704, 0.5704, 0.4299)
H (0.8050, 0.8050, 0.5237)
H (0.8963, 0.8963, 0.3545)

---

3.
This record from Alexandria via LeMat-Bulk describes crystalline MnTlAsSe3 at its relaxed geometry. The functional is PBE.

Results
Space-group type: P2_1/m
Formation energy (no corrections): -278 meV/atom

Cell: 8.8063 4.0707 9.7856 Å, 90.00 105.91 90.00°
Fractional positions:
Mn (0.0911, 0.2500, 0.1147)
Mn (0.9089, 0.7500, 0.8853)
Tl (0.1950, 0.2500, 0.7377)
Tl (0.8050, 0.7500, 0.2623)
As (0.3368, 0.7500, 0.3846)
As (0.6632, 0.2500, 0.6154)
Se (0.1296, 0.2500, 0.3792)
Se (0.2086, 0.7500, 0.0235)
Se (0.4508, 0.7500, 0.6434)
Se (0.5492, 0.2500, 0.3566)
Se (0.7914, 0.2500, 0.9765)
Se (0.8704, 0.7500, 0.6208)

---

4.
This record from Alexandria via LeMat-Bulk describes crystalline Zr5UP6 at its relaxed geometry. The functional is PBE.

Results
Space-group type: C2/m
ΔE_f: -15.7 eV per formula unit

Cell: 6.5524 6.5524 6.4972 Å, 99.58 99.58 120.11°
Fractional positions:
Zr (0.0000, 0.0000, 0.0000)
Zr (0.1691, 0.8309, 0.5000)
Zr (0.3283, 0.6717, 0.0000)
Zr (0.6717, 0.3283, 0.0000)
Zr (0.8309, 0.1691, 0.5000)
U (0.5000, 0.5000, 0.5000)
P (0.0831, 0.4157, 0.2481)
P (0.2495, 0.2495, 0.7492)
P (0.4157, 0.0831, 0.2481)
P (0.5843, 0.9169, 0.7519)
P (0.7505, 0.7505, 0.2508)
P (0.9169, 0.5843, 0.7519)

---

5.
This record from Alexandria via LeMat-Bulk describes crystalline KLa2Au2 at its relaxed geometry. The functional is PBE.

Results
Space-group type: I4/mmm
ΔE_f: -1.9 eV per formula unit

Cell: 6.8213 6.8213 6.8213 Å, 133.17 133.17 68.38°
Fractional positions:
K (0.0000, 0.0000, 0.0000)
La (0.2500, 0.7500, 0.5000)
La (0.7500, 0.2500, 0.5000)
Au (0.3780, 0.3780, 0.0000)
Au (0.6220, 0.6220, 0.0000)

---

6.
This record from Alexandria via LeMat-Bulk describes crystalline SiPd2Br at its relaxed geometry. The functional is PBE.

Results
Space-group type: I-42d
Formation energy (no corrections): -64 meV/atom
Energy above the most stable polymorph in this dataset: 0 meV per atom

Cell: 6.1748 6.1748 6.1748 Å, 117.59 117.59 94.22°
Fractional positions:
Si (0.0000, 0.0000, 0.0000)
Si (0.7500, 0.2500, 0.5000)
Pd (0.0773, 0.1250, 0.4523)
Pd (0.3750, 0.9227, 0.0477)
Pd (0.6727, 0.6250, 0.5477)
Pd (0.8750, 0.3273, 0.9523)
Br (0.2500, 0.7500, 0.5000)
Br (0.5000, 0.5000, 0.0000)

---

7.
This record from Alexandria via LeMat-Bulk describes crystalline Rb3ReI at its relaxed geometry. The functional is PBE.

Results
Space-group type: Pm-3m
Formation energy (no corrections): 815 meV/atom
Energy above the most stable polymorph in this dataset: 0 meV per atom

Cell: 6.4914 6.4914 6.4914 Å, 90.00 90.00 90.00°
Fractional positions:
Rb (0.0000, 0.0000, 0.5000)
Rb (0.0000, 0.5000, 0.0000)
Rb (0.5000, 0.0000, 0.0000)
Re (0.0000, 0.0000, 0.0000)
I (0.5000, 0.5000, 0.5000)

---

8.
This record from Alexandria via LeMat-Bulk describes crystalline LaC2N3 at its relaxed geometry. The functional is PBE.

Results
Space-group type: Cmm2
Formation energy (no corrections): 12 meV/atom

Cell: 4.8929 4.8929 3.8630 Å, 90.00 90.00 106.16°
Fractional positions:
La (0.0000, 0.0000, 0.0000)
C (0.3448, 0.6552, 0.6123)
C (0.6552, 0.3448, 0.6123)
N (0.1997, 0.8003, 0.4782)
N (0.5000, 0.5000, 0.4647)
N (0.8003, 0.1997, 0.4782)

---

9.
This record from Alexandria via LeMat-Bulk describes crystalline ZrZn4Te at its relaxed geometry. The functional is PBE.

Results
Space-group type: F-43m
Formation energy (no corrections): 14 meV/atom

Cell: 5.3570 5.3570 5.3570 Å, 60.00 60.00 60.00°
Fractional positions:
Zr (0.0000, 0.0000, 0.0000)
Zn (0.3737, 0.3737, 0.3737)
Zn (0.3737, 0.3737, 0.8789)
Zn (0.3737, 0.8789, 0.3737)
Zn (0.8789, 0.3737, 0.3737)
Te (0.7500, 0.7500, 0.7500)

---

10.
This record from Alexandria via LeMat-Bulk describes crystalline ThNb2TlO8 at its relaxed geometry. The functional is PBE.

Results
Space-group type: P-3m1
Formation energy (no corrections): -2405 meV/atom

Cell: 6.2401 6.2401 6.9393 Å, 90.00 90.00 120.00°
Fractional positions:
Th (0.0000, 0.0000, 0.0000)
Nb (0.3333, 0.6667, 0.6999)
Nb (0.6667, 0.3333, 0.3001)
Tl (0.0000, 0.0000, 0.5000)
O (0.1642, 0.3284, 0.7856)
O (0.1642, 0.8358, 0.7856)
O (0.3284, 0.1642, 0.2144)
O (0.3333, 0.6667, 0.4440)
O (0.6667, 0.3333, 0.5560)
O (0.6716, 0.8358, 0.7856)
O (0.8358, 0.1642, 0.2144)
O (0.8358, 0.6716, 0.2144)

---

11.
This record from Alexandria via LeMat-Bulk describes crystalline KNaAuBr3 at its relaxed geometry. The functional is PBE.

Results
Space-group type: C2/m
Formation energy (no corrections): -1041 meV/atom

Cell: 9.9548 9.9548 6.4737 Å, 94.73 94.73 44.71°
Fractional positions:
K (0.2354, 0.2354, 0.2607)
K (0.7646, 0.7646, 0.7393)
Na (0.0647, 0.0647, 0.6883)
Na (0.9353, 0.9353, 0.3117)
Au (0.2641, 0.7359, 0.0000)
Au (0.7359, 0.2641, 0.0000)
Br (0.1710, 0.6681, 0.6825)
Br (0.2158, 0.2158, 0.7600)
Br (0.3319, 0.8290, 0.3175)
Br (0.6681, 0.1710, 0.6825)
Br (0.7842, 0.7842, 0.2400)
Br (0.8290, 0.3319, 0.3175)

---

12.
This record from Alexandria via LeMat-Bulk describes crystalline RbTe2IN at its relaxed geometry. The functional is PBE.

Results
Space-group type: P4/mmm
Formation energy (no corrections): 676 meV/atom
Energy above the most stable polymorph in this dataset: 462 meV per atom

Cell: 6.5321 6.5321 3.9399 Å, 90.00 90.00 90.00°
Fractional positions:
Rb (0.0000, 0.0000, 0.0000)
Te (0.0000, 0.5000, 0.5000)
Te (0.5000, 0.0000, 0.5000)
I (0.5000, 0.5000, 0.5000)
N (0.5000, 0.5000, 0.0000)

---

13.
This record from Alexandria via LeMat-Bulk describes crystalline Tb2Pm5SmDy at its relaxed geometry. The functional is PBE.

Results
Space-group type: Cmc2_1
ΔE_f: 1.3 eV per formula unit

Cell: 10.5536 10.5536 10.7047 Å, 90.00 90.00 148.84°
Fractional positions:
Tb (0.1111, 0.8889, 0.5000)
Tb (0.1161, 0.8839, 0.0814)
Tb (0.8839, 0.1161, 0.5814)
Tb (0.8889, 0.1111, 0.0000)
Pm (0.0166, 0.9834, 0.7855)
Pm (0.2809, 0.7191, 0.0731)
Pm (0.2975, 0.7025, 0.4684)
Pm (0.3906, 0.6094, 0.7880)
Pm (0.4798, 0.5202, 0.5055)
Pm (0.5202, 0.4798, 0.0055)
Pm (0.6094, 0.3906, 0.2880)
Pm (0.7025, 0.2975, 0.9684)
Pm (0.7191, 0.2809, 0.5731)
Pm (0.9834, 0.0166, 0.2855)
Sm (0.2008, 0.7992, 0.7733)
Sm (0.7992, 0.2008, 0.2733)
Dy (0.4107, 0.5893, 0.2213)
Dy (0.5893, 0.4107, 0.7213)

---

14.
This record from Alexandria via LeMat-Bulk describes crystalline PrHoZn2 at its relaxed geometry. The functional is PBE.

Results
Space-group type: Fm-3m
ΔE_f: -1.2 eV per formula unit
Energy above the most stable polymorph in this dataset: 7 meV per atom

Cell: 5.1414 5.1414 5.1414 Å, 60.00 60.00 60.00°
Fractional positions:
Pr (0.0000, 0.0000, 0.0000)
Ho (0.5000, 0.5000, 0.5000)
Zn (0.2500, 0.2500, 0.2500)
Zn (0.7500, 0.7500, 0.7500)

---

15.
This record from Alexandria via LeMat-Bulk describes crystalline Li3As3Au at its relaxed geometry. The functional is PBE.

Results
Space-group type: C2/m
ΔE_f: -3.0 eV per formula unit

Cell: 5.3272 5.3272 13.4769 Å, 106.00 106.00 46.76°
Fractional positions:
Li (0.0275, 0.0275, 0.3602)
Li (0.0870, 0.0870, 0.9207)
Li (0.2290, 0.2290, 0.2210)
Li (0.7710, 0.7710, 0.7790)
Li (0.9130, 0.9130, 0.0793)
Li (0.9725, 0.9725, 0.6398)
As (0.3706, 0.3706, 0.4622)
As (0.3848, 0.3848, 0.9282)
As (0.4878, 0.4878, 0.7812)
As (0.5122, 0.5122, 0.2188)
As (0.6152, 0.6152, 0.0718)
As (0.6294, 0.6294, 0.5378)
Au (0.2540, 0.2540, 0.6329)
Au (0.7460, 0.7460, 0.3671)

---

16.
This record from Alexandria via LeMat-Bulk describes crystalline YErAlCd at its relaxed geometry. The functional is PBE.

Results
Space-group type: P4mm
ΔE_f: -1.5 eV per formula unit
Energy above the most stable polymorph in this dataset: 0 meV per atom

Cell: 3.6316 3.6316 7.4453 Å, 90.00 90.00 90.00°
Fractional positions:
Y (0.0000, 0.0000, 0.0000)
Er (0.0000, 0.0000, 0.4785)
Al (0.5000, 0.5000, 0.2426)
Cd (0.5000, 0.5000, 0.7337)

---

17.
This record from Alexandria via LeMat-Bulk describes crystalline Cu2SiTe at its relaxed geometry. The functional is PBE.

Results
Space-group type: Pm
Formation energy (no corrections): 185 meV/atom
Energy above the most stable polymorph in this dataset: 121 meV per atom

Cell: 4.3468 4.3488 4.5300 Å, 90.00 112.04 90.00°
Fractional positions:
Cu (0.0000, 0.0000, 0.0000)
Cu (0.0265, 0.5000, 0.7236)
Si (0.8477, 0.0000, 0.4427)
Te (0.3609, 0.5000, 0.3469)

---

18.
This record from Alexandria via LeMat-Bulk describes crystalline MgSc2As at its relaxed geometry. The functional is PBE.

Results
Space-group type: Immm
ΔE_f: -1.9 eV per formula unit

Cell: 5.6115 5.6115 5.6115 Å, 140.92 128.59 66.42°
Fractional positions:
Mg (0.0000, 0.0000, 0.0000)
Sc (0.2893, 0.7893, 0.5000)
Sc (0.7107, 0.2107, 0.5000)
As (0.5000, 0.5000, 0.0000)

---

19.
This record from Alexandria via LeMat-Bulk describes crystalline TbGd2Pa at its relaxed geometry. The functional is PBE.

Results
Space-group type: P4/mmm
ΔE_f: 0.5 eV per formula unit
Energy above the most stable polymorph in this dataset: 0 meV per atom

Cell: 3.4144 3.4144 10.2122 Å, 90.00 90.00 90.00°
Fractional positions:
Tb (0.0000, 0.0000, 0.0000)
Gd (0.5000, 0.5000, 0.2689)
Gd (0.5000, 0.5000, 0.7311)
Pa (0.0000, 0.0000, 0.5000)

---

20.
This record from Alexandria via LeMat-Bulk describes crystalline Pr2MgGe at its relaxed geometry. The functional is PBE.

Results
Space-group type: P4/mmm
ΔE_f: -1.6 eV per formula unit

Cell: 5.0815 5.0815 4.1747 Å, 90.00 90.00 90.00°
Fractional positions:
Pr (0.0000, 0.5000, 0.0000)
Pr (0.5000, 0.0000, 0.0000)
Mg (0.0000, 0.0000, 0.5000)
Ge (0.5000, 0.5000, 0.5000)